A plane-wave DFT calculation with PBE-GGA was carried out for a relaxed structure of NdSm7Cd2.

abc: 5.401 9.140 9.140
angles: 120.40 90.00 90.00
Fractional positions:
Sm  0.500  0.936  0.699
Sm  0.000  0.227  0.773
Sm  0.500  0.301  0.064
Sm  0.500  0.500  0.500
Sm  0.000  0.773  0.227
Sm  0.500  0.064  0.301
Sm  0.500  0.699  0.936
Cd  0.500  0.696  0.304
Cd  0.500  0.304  0.696
Nd  0.000  0.000  0.000

Results
SG	Cmmm
calculated formation energy	0.388	eV/atom
M_tot	0.0	Bohr magnetons per cell

=====

A plane-wave DFT calculation with PBE-GGA was carried out for a relaxed structure of NdSmCd4.

abc: 3.488 6.148 8.749
angles: 90.00 90.00 124.64
Fractional positions:
Cd  0.001  0.497  0.663
Cd  0.502  0.997  0.830
Cd  0.001  0.497  0.333
Cd  0.501  0.997  0.166
Sm  0.001  0.997  0.498
Nd  0.501  0.497  0.998

Results
SG	P2/m
relative energy among the computed polymorphs	0.0	kJ per mole of atoms
calculated formation energy	-0.341	eV/atom
M_tot	0.0	Bohr magnetons per cell

=====

A plane-wave DFT calculation with PBE-GGA was carried out for a relaxed structure of NdSm3Cd3.

abc: 7.671 7.671 7.209
angles: 90.00 90.00 90.48
Fractional positions:
Cd  0.000  0.500  0.252
Cd  0.000  0.500  0.748
Cd  0.000  0.000  0.750
Cd  0.500  0.000  0.748
Cd  0.000  0.000  0.250
Cd  0.500  0.000  0.252
Sm  0.260  0.260  0.500
Sm  0.256  0.744  0.000
Sm  0.256  0.744  0.500
Sm  0.744  0.256  0.000
Sm  0.744  0.256  0.500
Sm  0.740  0.740  0.500
Nd  0.738  0.738  0.000
Nd  0.262  0.262  0.000

Results
SG	Cmmm
calculated formation energy	-0.154	eV/atom
M_tot	2.2	Bohr magnetons per cell

=====

A plane-wave DFT calculation with PBE-GGA was carried out for a relaxed structure of Nd9Sm4Cd11.

abc: 3.654 14.204 14.204
angles: 110.65 90.00 90.00
Fractional positions:
Cd  0.000  0.229  0.229
Cd  0.000  0.824  0.176
Cd  0.000  0.368  0.632
Cd  0.000  0.000  0.000
Cd  0.000  0.412  0.052
Cd  0.000  0.771  0.771
Cd  0.000  0.948  0.588
Cd  0.000  0.588  0.948
Cd  0.000  0.632  0.368
Cd  0.000  0.176  0.824
Cd  0.000  0.052  0.412
Sm  0.500  0.427  0.252
Sm  0.500  0.748  0.573
Sm  0.500  0.573  0.748
Sm  0.500  0.252  0.427
Nd  0.500  0.151  0.620
Nd  0.500  0.207  0.027
Nd  0.500  0.620  0.151
Nd  0.500  0.380  0.849
Nd  0.500  0.849  0.380
Nd  0.500  0.793  0.973
Nd  0.500  0.500  0.500
Nd  0.500  0.027  0.207
Nd  0.500  0.973  0.793

Results
SG	Cmmm
calculated formation energy	-0.248	eV/atom
M_tot	0.0	Bohr magnetons per cell

=====

A plane-wave DFT calculation with PBE-GGA was carried out for a relaxed structure of NdSmCd3.

abc: 5.491 9.383 12.160
angles: 120.61 90.00 90.00
Fractional positions:
Cd  0.250  0.879  0.379
Cd  0.750  0.429  0.515
Cd  0.250  0.571  0.485
Cd  0.750  0.808  0.723
Cd  0.250  0.071  0.985
Cd  0.750  0.621  0.121
Cd  0.750  0.121  0.621
Cd  0.750  0.308  0.223
Cd  0.750  0.929  0.015
Cd  0.250  0.192  0.277
Cd  0.250  0.692  0.777
Cd  0.250  0.379  0.879
Nd  0.750  0.719  0.423
Nd  0.250  0.281  0.577
Nd  0.750  0.219  0.923
Nd  0.250  0.781  0.077
Sm  0.750  0.027  0.320
Sm  0.750  0.527  0.820
Sm  0.250  0.973  0.680
Sm  0.250  0.473  0.180

Results
SG	P2_1/m
relative energy among the computed polymorphs	3.5	kJ per mole of atoms
calculated formation energy	-0.273	eV/atom
M_tot	0.0	Bohr magnetons per cell

=====

A plane-wave DFT calculation with PBE-GGA was carried out for a relaxed structure of Nd2Sm7Cd2.

abc: 8.247 6.712 6.712
angles: 93.64 80.62 80.62
Fractional positions:
Sm  0.828  0.884  0.476
Sm  0.172  0.116  0.524
Sm  0.000  0.000  0.000
Sm  0.828  0.476  0.884
Sm  0.466  0.691  0.691
Sm  0.172  0.524  0.116
Sm  0.534  0.309  0.309
Cd  0.862  0.395  0.395
Cd  0.138  0.605  0.605
Nd  0.500  0.820  0.180
Nd  0.500  0.180  0.820

Results
SG	C2/m
calculated formation energy	0.035	eV/atom
M_tot	0.0	Bohr magnetons per cell

=====

A plane-wave DFT calculation with PBE-GGA was carried out for a relaxed structure of Nd3Sm4Cd4.

abc: 5.409 7.091 9.912
angles: 110.96 105.83 90.00
Fractional positions:
Cd  0.500  0.206  0.000
Cd  0.500  0.794  0.000
Cd  0.825  0.325  0.649
Cd  0.175  0.675  0.351
Nd  0.899  0.899  0.797
Nd  0.101  0.101  0.203
Nd  0.000  0.500  0.000
Sm  0.681  0.445  0.361
Sm  0.319  0.555  0.639
Sm  0.681  0.917  0.361
Sm  0.319  0.083  0.639

Results
SG	Immm
calculated formation energy	-0.099	eV/atom
M_tot	0.0	Bohr magnetons per cell

=====

A plane-wave DFT calculation with PBE-GGA was carried out for a relaxed structure of Nd4Sm5Cd2.

abc: 3.546 8.770 11.444
angles: 94.16 90.00 90.00
Fractional positions:
Sm  0.000  0.500  0.000
Sm  0.000  0.204  0.167
Sm  0.000  0.796  0.833
Sm  0.000  0.564  0.297
Sm  0.000  0.436  0.703
Cd  0.000  0.055  0.632
Cd  0.000  0.945  0.368
Nd  0.500  0.268  0.452
Nd  0.500  0.732  0.548
Nd  0.500  0.853  0.121
Nd  0.500  0.147  0.879

Results
SG	P2/m
calculated formation energy	-0.004	eV/atom
M_tot	0.0	Bohr magnetons per cell

=====

A plane-wave DFT calculation with PBE-GGA was carried out for a relaxed structure of Nd2SmCd4.

abc: 5.417 5.417 8.114
angles: 109.50 109.50 90.00
Fractional positions:
Nd  0.262  0.262  0.523
Nd  0.738  0.738  0.477
Cd  0.112  0.612  0.224
Cd  0.612  0.112  0.224
Cd  0.888  0.388  0.776
Cd  0.388  0.888  0.776
Sm  0.000  0.000  0.000

Results
SG	I4/mmm
calculated formation energy	-0.168	eV/atom
M_tot	0.4	Bohr magnetons per cell

=====

A plane-wave DFT calculation with PBE-GGA was carried out for a relaxed structure of Nd4Sm7Cd.

abc: 3.652 3.652 34.894
angles: 90.00 90.00 120.00
Fractional positions:
Nd  0.333  0.667  0.658
Nd  0.667  0.333  0.342
Nd  0.667  0.333  0.086
Nd  0.333  0.667  0.914
Sm  0.667  0.333  0.829
Sm  0.667  0.333  0.573
Sm  0.333  0.667  0.427
Sm  0.000  0.000  0.256
Sm  0.000  0.000  0.000
Sm  0.333  0.667  0.171
Sm  0.000  0.000  0.744
Cd  0.000  0.000  0.500

Results
SG	P-3m1
calculated formation energy	-0.017	eV/atom
M_tot	0.0	Bohr magnetons per cell

=====

A plane-wave DFT calculation with PBE-GGA was carried out for a relaxed structure of Nd2Sm3Cd3.

abc: 3.842 5.473 11.793
angles: 103.42 99.37 90.00
Fractional positions:
Sm  0.500  0.000  0.000
Sm  0.379  0.379  0.758
Sm  0.621  0.621  0.242
Cd  0.116  0.116  0.232
Cd  0.884  0.884  0.768
Cd  0.000  0.500  0.000
Nd  0.267  0.767  0.534
Nd  0.733  0.233  0.466

Results
SG	Immm
calculated formation energy	-0.231	eV/atom
M_tot	0.0	Bohr magnetons per cell

=====

A plane-wave DFT calculation with PBE-GGA was carried out for a relaxed structure of Nd2SmCd8.

abc: 5.369 6.511 9.074
angles: 110.99 107.16 90.13
Fractional positions:
Cd  0.748  0.502  0.000
Cd  0.699  0.199  0.399
Cd  0.127  0.898  0.251
Cd  0.124  0.353  0.251
Cd  0.252  0.498  0.000
Cd  0.873  0.102  0.749
Cd  0.301  0.801  0.601
Cd  0.876  0.647  0.749
Nd  0.691  0.691  0.383
Nd  0.309  0.309  0.617
Sm  0.500  0.000  0.000

Results
SG	C2/m
calculated formation energy	-0.274	eV/atom
M_tot	0.0	Bohr magnetons per cell